# 1
First-principles (PBE-GGA) data for CrPtI2N after structural relaxation, as listed in Alexandria.

It has space group P4/mmm (No. 123), with a = 5.769 Å, b = 5.769 Å, c = 3.735 Å, α = 90.00°, β = 90.00° and γ = 90.00°. Symmetry generates all atoms from Cr at (0.000, 0.000, 0.000), Pt at (0.500, 0.500, 0.500), I at (0.000, 0.500, 0.500) and N at (0.500, 0.500, 0.000).

---

# 2
First-principles (PBE-GGA) data for CrPtIN2 after structural relaxation, as listed in Alexandria.

It has space group P4/mmm (No. 123), with a = 3.755 Å, b = 3.755 Å, c = 5.988 Å, α = 90.00°, β = 90.00° and γ = 90.00°. Symmetry generates all atoms from Cr at (0.000, 0.000, 0.000), Pt at (0.500, 0.500, 0.500), I at (0.000, 0.000, 0.500) and N at (0.000, 0.500, 0.000).

---

# 3
First-principles (PBE-GGA) data for CrPtIN2 after structural relaxation, as listed in Alexandria.

It has space group P4/mmm (No. 123), with a = 3.833 Å, b = 3.833 Å, c = 8.031 Å, α = 90.00°, β = 90.00° and γ = 90.00°. Symmetry generates all atoms from Cr at (0.000, 0.000, 0.000), Pt at (0.500, 0.500, 0.500), I at (0.500, 0.500, 0.000) and N at (0.000, 0.500, 0.500).

---

# 4
First-principles (PBE-GGA) data for CrReI2N after structural relaxation, as listed in Alexandria.

It has space group P4/mmm (No. 123), with a = 5.600 Å, b = 5.600 Å, c = 3.780 Å, α = 90.00°, β = 90.00° and γ = 90.00°. Symmetry generates all atoms from Cr at (0.000, 0.000, 0.000), Re at (0.500, 0.500, 0.500), I at (0.000, 0.500, 0.500) and N at (0.500, 0.500, 0.000).

---

# 5
First-principles (PBE-GGA) data for CrReIN2 after structural relaxation, as listed in Alexandria.

It has space group P4/mmm (No. 123), with a = 3.903 Å, b = 3.903 Å, c = 5.839 Å, α = 90.00°, β = 90.00° and γ = 90.00°. Symmetry generates all atoms from Cr at (0.000, 0.000, 0.000), Re at (0.500, 0.500, 0.500), I at (0.500, 0.500, 0.000) and N at (0.000, 0.500, 0.500).

---

# 6
First-principles (PBE-GGA) data for CrReIN2 after structural relaxation, as listed in Alexandria.

It has space group P4/mmm (No. 123), with a = 3.778 Å, b = 3.778 Å, c = 5.854 Å, α = 90.00°, β = 90.00° and γ = 90.00°. Symmetry generates all atoms from Cr at (0.000, 0.000, 0.000), Re at (0.500, 0.500, 0.500), I at (0.000, 0.000, 0.500) and N at (0.000, 0.500, 0.000).

---

no.,uncorrected formation energy (eV per atom)
1,0.67
2,0.80
3,1.19
4,0.69
5,0.77
6,1.61